Record 1
# BeTc2Cl, single point on PBEsol structure, DFT SCAN
# **E_form (uncorrected)**: 75.5 kJ/mol of atoms
data_BeTc2Cl
_cell_length_a 5.7621
_cell_length_b 5.7621
_cell_length_c 5.7621
_cell_angle_alpha 90.00
_cell_angle_beta 90.00
_cell_angle_gamma 90.00
_space_group_name_H-M_alt 'F m -3 m'
_space_group_IT_number 225
_space_group_name_Hall '-F 4 2 3'
loop_
_atom_site_label
_atom_site_type_symbol
_atom_site_fract_x
_atom_site_fract_y
_atom_site_fract_z
Be1 Be 0.0000 0.0000 0.0000
Tc1 Tc 0.2500 0.2500 0.2500
Cl1 Cl 0.0000 0.0000 0.5000

***

Record 2
# Ag5Br3, single point on PBEsol structure, DFT SCAN
# **E_form (uncorrected)**: -21.7 kJ/mol of atoms
data_Ag5Br3
_cell_length_a 7.8552
_cell_length_b 12.6048
_cell_length_c 8.2260
_cell_angle_alpha 90.00
_cell_angle_beta 114.06
_cell_angle_gamma 90.00
_space_group_name_H-M_alt 'C 1 m 1'
_space_group_IT_number 8
_space_group_name_Hall 'C -2y'
loop_
_atom_site_label
_atom_site_type_symbol
_atom_site_fract_x
_atom_site_fract_y
_atom_site_fract_z
Ag1 Ag 0.0000 0.0000 0.0000
Ag2 Ag 0.0151 0.5000 0.0356
Ag3 Ag 0.1651 0.3911 0.8324
Ag4 Ag 0.1900 0.1091 0.8334
Ag5 Ag 0.3256 0.1087 0.2035
Ag6 Ag 0.3494 0.3909 0.2019
Br1 Br 0.0365 0.5000 0.5138
Br2 Br 0.0428 0.0000 0.5147
Br3 Br 0.1269 0.2561 0.2817
Br4 Br 0.3934 0.2561 0.7528

***

Record 3
# YMgCuH2, single point on PBEsol structure, DFT SCAN
# **Final energy**: -52.24 eV per cell
data_YMgCuH2
_cell_length_a 3.9533
_cell_length_b 3.9533
_cell_length_c 4.6877
_cell_angle_alpha 90.00
_cell_angle_beta 90.00
_cell_angle_gamma 90.00
_space_group_name_H-M_alt 'P 4/m m m'
_space_group_IT_number 123
_space_group_name_Hall '-P 4 2'
loop_
_atom_site_label
_atom_site_type_symbol
_atom_site_fract_x
_atom_site_fract_y
_atom_site_fract_z
Y1 Y 0.0000 0.0000 0.0000
Mg1 Mg 0.5000 0.5000 0.0000
Cu1 Cu 0.5000 0.5000 0.5000
H1 H 0.0000 0.5000 0.5000

***

Record 4
# TaSbCN2, single point on PBEsol structure, DFT SCAN
# **E_form (uncorrected)**: 133.1 kJ/mol of atoms
data_TaSbCN2
_cell_length_a 3.8564
_cell_length_b 3.8564
_cell_length_c 5.8718
_cell_angle_alpha 90.00
_cell_angle_beta 90.00
_cell_angle_gamma 90.00
_space_group_name_H-M_alt 'P 4/m m m'
_space_group_IT_number 123
_space_group_name_Hall '-P 4 2'
loop_
_atom_site_label
_atom_site_type_symbol
_atom_site_fract_x
_atom_site_fract_y
_atom_site_fract_z
Ta1 Ta 0.0000 0.0000 0.0000
Sb1 Sb 0.0000 0.0000 0.5000
C1 C 0.5000 0.5000 0.5000
N1 N 0.0000 0.5000 0.0000